PBE Pr2Al4CuAg3, relaxed; calculated density = 6251 kg/m3; calculated formation energy = -0.34 eV per atom; E = -4.06 eV per atom; symmetry = P-4m2, No. 115
1.0
4.394 0.000 0.000
0.000 4.394 0.000
0.000 0.000 10.690
Pr Al Cu Ag
2 4 1 3
direct
0.000 0.500 0.242
0.500 0.000 0.758
0.000 0.000 0.500
0.000 0.500 0.875
0.500 0.000 0.125
0.500 0.500 0.500
0.500 0.500 0.000
0.000 0.000 0.000
0.000 0.500 0.635
0.500 0.000 0.365

***

PBE Pm3DyS6, relaxed; calculated density = 4758 kg/m3; formation energy from raw total energies = -2.061 eV/atom; E = -6.42 eV per atom; symmetry = R-3, No. 148
1.0
5.867 3.388 4.623
-5.867 3.388 4.623
0.000 -6.775 4.623
Pm Dy S
6 2 12
direct
0.067 0.576 0.749
0.251 0.933 0.424
0.424 0.251 0.933
0.576 0.749 0.067
0.749 0.067 0.576
0.933 0.424 0.251
0.000 0.000 0.000
0.500 0.500 0.500
0.037 0.908 0.685
0.092 0.315 0.963
0.188 0.589 0.422
0.315 0.963 0.092
0.411 0.578 0.812
0.422 0.188 0.589
0.578 0.812 0.411
0.589 0.422 0.188
0.685 0.037 0.908
0.812 0.411 0.578
0.908 0.685 0.037
0.963 0.092 0.315

***

PBE LaTaPtC2, relaxed; calculated density = 9408 kg/m3; calculated formation energy = 2.36 eV per atom; E = -5.89 eV per atom; symmetry = P4/mmm, No. 123
1.0
4.203 0.000 0.000
0.000 4.203 0.000
0.000 0.000 5.386
La Ta Pt C
1 1 1 2
direct
0.000 0.000 0.000
0.500 0.500 0.500
0.000 0.000 0.500
0.000 0.500 0.000
0.500 0.000 0.000

***

PBE FeRe2Se, relaxed; calculated density = 14200 kg/m3; formation energy from raw total energies = 0.437 eV/atom; E = -8.77 eV per atom; symmetry = C2/m, No. 12
1.0
4.780 -1.450 0.000
4.780 1.450 0.000
-0.372 0.000 4.279
Fe Re Se
1 2 1
direct
0.000 0.000 0.000
0.286 0.286 0.777
0.714 0.714 0.223
0.500 0.500 0.500

***

PBE HfAsOs2F, relaxed; calculated density = 8704 kg/m3; formation energy from raw total energies = 1.758 eV/atom; E = -6.03 eV per atom; symmetry = P4/mmm, No. 123
1.0
4.929 0.000 0.000
0.000 4.929 0.000
0.000 0.000 5.127
Hf As Os F
1 1 2 1
direct
0.000 0.000 0.000
0.000 0.000 0.500
0.000 0.500 0.000
0.500 0.000 0.000
0.500 0.500 0.500